No. 1
# Mn2TlW

An optimized crystal structure of Mn2TlW (GGA-PBE, Alexandria).

Calculated values
Calculated formation energy, eV/atom: 0.50
Offset from the most stable computed form, meV per atom: 37

Unit cell a=3.0763 b=3.0763 c=6.8634 alpha=90.00 beta=90.00 gamma=90.00
Last column: nearest neighbours and their distance in Å.
Space group P4mm (No. 99)
Unique sites:
Mn: 0.0000 0.0000 0.0000 x1  4 Mn 2.61, 1 W 2.74
Mn: 0.5000 0.5000 0.2098 x1  4 W 2.53, 4 Mn 2.61
Tl: 0.5000 0.5000 0.7157 x1  4 Mn 2.92, 4 W 3.07, 4 Tl 3.08
W: 0.0000 0.0000 0.3993 x1  5 Mn 2.53-2.74

=====

No. 2
# K2AlH2OF5

An optimized crystal structure of K2AlH2OF5 (GGA-PBE, Alexandria).

Calculated values
DFT total energy, eV per cell: -224.8

Unit cell a=9.6961 b=8.0687 c=7.5953 alpha=90.00 beta=90.00 gamma=90.00
Last column: nearest neighbours and their distance in Å.
Space group Cmcm (No. 63)
Unique sites:
K: 0.2019 0.1941 0.2500 x8  4 F 2.69-2.71, 1 O 2.83
Al: 0.0000 0.5000 0.0000 x4  6 F 1.81-1.90
H: 0.0000 0.1341 0.6470 x8  1 O 0.99
O: 0.0000 0.0592 0.7500 x4  2 H 0.99
F: 0.0000 0.2760 0.0190 x8  1 H 1.70, 1 Al 1.81
F: 0.0000 0.4816 0.7500 x4  2 Al 1.90
F: 0.1862 0.5000 0.0000 x8  1 Al 1.81

=====

No. 3
# Sr2La2Cd

An optimized crystal structure of Sr2La2Cd (GGA-PBE, Alexandria).

Calculated values
Calculated formation energy, eV/atom: 0.11

Unit cell a=8.2210 b=8.2210 c=6.1557 alpha=90.00 beta=90.00 gamma=90.00
Last column: nearest neighbours and their distance in Å.
Space group P4/mbm (No. 127)
Unique sites:
Sr: 0.1739 0.3261 0.0000 x4  6 La 3.85-3.97, 5 Sr 4.04-4.30
La: 0.1279 0.6279 0.5000 x4  1 La 2.97, 2 Cd 3.23
Cd: 0.0000 0.0000 0.5000 x2  4 La 3.23

=====

Q: What is the formula in the second record?
A: K2AlH2OF5